Cu3P after structural relaxation, computed with GGA-PBE.

Cell lengths 2.9026, 3.9814, 4.3067 Å; angles 90.00, 90.00, 90.00 degrees
Last column: nearest neighbours and their distance in Å.
Fractional coordinates of all 4 atoms:
P 0.0000 0.5000 0.3416  10 Cu 2.48-2.60
Cu 0.5000 0.0000 0.4858  6 Cu 2.51-2.64, 4 P 2.54
Cu 0.5000 0.5000 0.8423  6 Cu 2.51-2.55, 4 P 2.59-2.60
Cu 0.0000 0.0000 0.9969  2 P 2.48, 8 Cu 2.55-2.64

Output
Space-group type = Pmm2, No. 25
Final energy = -17.31 eV per cell
Calculated formation energy = 98.3 meV/atom
Magnetization = 0.00 μB per formula unit
Volume = 12.4 Å³/atom

***

Cu2NiRu after structural relaxation, computed with GGA-PBE.

Cell lengths 4.1296, 4.1296, 4.1296 Å; angles 60.00, 60.00, 60.00 degrees
Last column: nearest neighbours and their distance in Å.
Fractional coordinates of all 4 atoms:
Cu 0.7500 0.7500 0.7500  4 Ru 2.53, 4 Ni 2.53
Ni 0.0000 0.0000 0.0000  8 Cu 2.53
Ru 0.5000 0.5000 0.5000  8 Cu 2.53
Cu 0.2500 0.2500 0.2500  4 Ru 2.53, 4 Ni 2.53

Output
Space-group type = Fm-3m, No. 225
Final energy = -22.06 eV per cell
Calculated formation energy = 296.3 meV/atom
Magnetization = 2.12 μB per formula unit
Volume = 12.4 Å³/atom
Energy relative to the lowest polymorph listed for this composition = 0.179 eV per atom

***

Y4CdGa2 after structural relaxation, computed with GGA-PBE.

Cell lengths 5.0285, 5.0285, 9.4040 Å; angles 74.49, 74.49, 60.00 degrees
Last column: nearest neighbours and their distance in Å.
Fractional coordinates of all 7 atoms:
Y 0.6183 0.6183 0.1451  3 Cd 3.18, 3 Ga 3.19
Y 0.2065 0.2065 0.3805  4 Ga 2.91-3.00
Y 0.7935 0.7935 0.6195  4 Ga 2.91-3.00
Cd 0.0000 0.0000 0.0000  2 Ga 2.63
Y 0.3817 0.3817 0.8549  3 Cd 3.18, 3 Ga 3.19
Ga 0.9020 0.9020 0.2940  1 Cd 2.63, 1 Y 2.91
Ga 0.0980 0.0980 0.7060  1 Cd 2.63, 1 Y 2.91

Output
Space-group type = R-3m, No. 166
Final energy = -34.70 eV per cell
Calculated formation energy = -267.8 meV/atom
Magnetization = 0.00 μB per formula unit
Volume = 28.0 Å³/atom
Energy relative to the lowest polymorph listed for this composition = 0.138 eV per atom

***

InPbCl2 after structural relaxation, computed with GGA-PBE.

Cell lengths 5.3460, 5.3460, 5.3460 Å; angles 60.00, 60.00, 60.00 degrees
Last column: nearest neighbours and their distance in Å.
Fractional coordinates of all 4 atoms:
Cl 0.7500 0.7500 0.7500  4 Pb 3.27, 4 In 3.27
Cl 0.2500 0.2500 0.2500  4 Pb 3.27, 4 In 3.27
In 0.0000 0.0000 0.0000  8 Cl 3.27
Pb 0.5000 0.5000 0.5000  8 Cl 3.27

Output
Space-group type = Fm-3m, No. 225
Final energy = -12.34 eV per cell
Formation energy without anion corrections = -12.7 kcal/mol of atoms
Magnetization = 0.00 μB per formula unit
Volume = 27.0 Å³/atom
Energy relative to the lowest polymorph listed for this composition = 0.159 eV per atom

***

Pr2Cd2SnRh5 after structural relaxation, computed with GGA-PBE.

Cell lengths 3.7532, 10.2549, 10.2549 Å; angles 90.00, 90.00, 90.00 degrees
Last column: nearest neighbours and their distance in Å.
Fractional coordinates of all 20 atoms:
Rh 0.5000 0.9571 0.1974  2 Cd 2.73, 2 Sn 2.80, 2 Rh 2.93
Rh 0.5000 0.0000 0.5000  4 Cd 2.67
Rh 0.5000 0.1974 0.0429  2 Cd 2.73, 2 Sn 2.80, 2 Rh 2.93
Cd 0.0000 0.3687 0.1313  6 Rh 2.67-2.73, 1 Pr 2.90
Cd 0.0000 0.6313 0.8687  6 Rh 2.67-2.73, 1 Pr 2.90
Pr 0.0000 0.1685 0.3315  3 Cd 2.90-3.10, 6 Rh 3.08-3.18
Rh 0.5000 0.5000 0.0000  4 Cd 2.67
Cd 0.0000 0.1313 0.6313  6 Rh 2.67-2.73, 1 Pr 2.90
Sn 0.0000 0.0000 0.0000  8 Rh 2.80
Rh 0.5000 0.5429 0.6974  2 Cd 2.73, 2 Sn 2.80, 2 Rh 2.93
Pr 0.0000 0.3315 0.8315  3 Cd 2.90-3.10, 6 Rh 3.08-3.18
Cd 0.0000 0.8687 0.3687  6 Rh 2.67-2.73, 1 Pr 2.90
Rh 0.5000 0.3026 0.5429  2 Cd 2.73, 2 Sn 2.80, 2 Rh 2.93
Rh 0.5000 0.4571 0.3026  2 Cd 2.73, 2 Sn 2.80, 2 Rh 2.93
Sn 0.0000 0.5000 0.5000  8 Rh 2.80
Rh 0.5000 0.0429 0.8026  2 Cd 2.73, 2 Sn 2.80, 2 Rh 2.93
Rh 0.5000 0.6974 0.4571  2 Cd 2.73, 2 Sn 2.80, 2 Rh 2.93
Pr 0.0000 0.8315 0.6685  3 Cd 2.90-3.10, 6 Rh 3.08-3.18
Rh 0.5000 0.8026 0.9571  2 Cd 2.73, 2 Sn 2.80, 2 Rh 2.93
Pr 0.0000 0.6685 0.1685  3 Cd 2.90-3.10, 6 Rh 3.08-3.18

Output
Space-group type = P4/mbm, No. 127
Final energy = -111.34 eV per cell
Calculated formation energy = -352.1 meV/atom
Magnetization = 0.00 μB per formula unit
Volume = 19.7 Å³/atom

***

La2In6IrRh after structural relaxation, computed with GGA-PBE.

Cell lengths 7.5006, 7.0061, 7.4638 Å; angles 62.62, 55.54, 89.96 degrees
Last column: nearest neighbours and their distance in Å.
Fractional coordinates of all 10 atoms:
In 0.7465 0.2462 0.9577  1 Rh 2.56, 1 Ir 2.62
La 0.7194 0.2848 0.4431  12 In 3.58-3.97
Ir 0.0000 0.0000 0.0000  6 In 2.61-2.62
In 0.7927 0.7573 0.5004  1 Rh 2.56, 1 Ir 2.62
In 0.7538 0.7875 0.9575  1 Rh 2.55, 1 Ir 2.61
La 0.2806 0.7152 0.5569  12 In 3.58-3.97
Rh 0.5000 0.5000 0.0000  6 In 2.55-2.56
In 0.2462 0.2125 0.0425  1 Rh 2.55, 1 Ir 2.61
In 0.2535 0.7538 0.0423  1 Rh 2.56, 1 Ir 2.62
In 0.2073 0.2427 0.4996  1 Rh 2.56, 1 Ir 2.62

Output
Space-group type = P-1, No. 2
Final energy = -45.32 eV per cell
Calculated formation energy = -281.9 meV/atom
Magnetization = 0.00 μB per formula unit
Volume = 26.8 Å³/atom

***

Which of these has the lowest final energy?
Pr2Cd2SnRh5